Here is KTmO2 at its PBEsol-relaxed geometry from Alexandria via LeMat-Bulk. Energies are from SCAN.

The space group is R-3m (No. 166, hexagonal axes) and the conventional cell measures 3.3754, 3.3754 and 18.4202 Å, with angles of 90.00, 90.00 and 120.00 degrees. The distinct sites, in fractional coordinates, are K at (0.0000, 0.0000, 0.0000), Tm at (0.0000, 0.0000, 0.5000) and O at (0.0000, 0.0000, 0.2281).

The value obtained for the raw formation energy is -3.126 eV/atom. The total magnetization comes out at 0.00 μB/f.u.